Computed, not measured: crystalline AcMgMn2O8 at its relaxed geometry at the PBE+U level of DFT.

Cell lengths 5.454, 5.454, 7.074 Å; angles 90.00, 90.00, 120.00 degrees
Each line ends with the local moment (μB).
Fractional coordinates of all 12 atoms:
Ac 0.000 0.000 0.000  0.02
Mg 0.000 0.000 0.500  0.00
Mn 0.667 0.333 0.236  1.71
Mn 0.333 0.667 0.764  1.71
O 0.333 0.667 0.001  -0.06
O 0.322 0.165 0.301  -0.06
O 0.835 0.157 0.301  -0.06
O 0.667 0.333 0.999  -0.06
O 0.165 0.843 0.699  -0.06
O 0.678 0.835 0.699  -0.06
O 0.157 0.322 0.699  -0.06
O 0.843 0.678 0.301  -0.06

Values from the calculation:
Raw total energy (eV/atom): -6.702